PBE-GGA Cs2CdHgAs, optimized geometry; polymorph energy (0 for the lowest one) = 79 meV/atom; calculated formation energy = -10.9 kJ per mole of atoms; calculated volume = 55.4 Å³/atom
1.0
7.182 0.000 0.000
0.000 7.182 0.000
0.000 0.000 5.370
Cs Cd Hg As
2 1 1 1
direct
0.000 0.500 0.000 Cs
0.500 0.000 0.000 Cs
0.000 0.000 0.500 Cd
0.500 0.500 0.500 Hg
0.500 0.500 0.000 As

***

PBE-GGA LaMn2Nb2, optimized geometry; calculated formation energy = 37.0 kJ per mole of atoms; calculated volume = 19.7 Å³/atom
1.0
4.200 0.000 0.000
0.000 4.200 0.000
0.000 0.000 11.157
La Mn Nb
2 4 4
direct
0.000 0.000 0.000 La
0.500 0.500 0.500 La
0.000 0.500 0.250 Mn
0.000 0.500 0.750 Mn
0.500 0.000 0.250 Mn
0.500 0.000 0.750 Mn
0.000 0.000 0.363 Nb
0.000 0.000 0.637 Nb
0.500 0.500 0.137 Nb
0.500 0.500 0.863 Nb

***

PBE-GGA Cd3In2GaHg6, optimized geometry; calculated formation energy = 2.3 kJ per mole of atoms; calculated volume = 24.8 Å³/atom
1.0
3.009 -5.364 0.000
3.009 5.364 0.000
-2.045 0.000 9.205
Cd In Ga Hg
3 2 1 6
direct
0.000 0.000 0.000 Cd
0.322 0.678 0.000 Cd
0.678 0.322 0.000 Cd
0.160 0.840 0.500 In
0.840 0.160 0.500 In
0.500 0.500 0.500 Ga
0.100 0.423 0.252 Hg
0.265 0.265 0.760 Hg
0.423 0.100 0.252 Hg
0.577 0.900 0.748 Hg
0.735 0.735 0.240 Hg
0.900 0.577 0.748 Hg

***

PBE-GGA Sr2CeYAs4, optimized geometry; calculated formation energy = -120.0 kJ per mole of atoms; calculated volume = 28.6 Å³/atom
1.0
7.426 0.000 0.000
0.000 4.309 0.000
-2.499 0.000 7.139
Sr Ce Y As
2 1 1 4
direct
0.000 0.000 0.000 Sr
0.500 0.500 0.000 Sr
0.000 0.500 0.500 Ce
0.500 0.000 0.500 Y
0.239 0.000 0.721 As
0.259 0.500 0.278 As
0.741 0.500 0.722 As
0.761 0.000 0.279 As

***

- Among the records above, which one has the highest calculated volume?
  Cs2CdHgAs